! PrCuPCl | Alexandria | GGA-PBE | relaxed; values from VASP
&SYSTEM
  ibrav = 0, nat = 8, ntyp = 4
/
ATOMIC_SPECIES
P 30.97 P.upf
Cu 63.55 Cu.upf
Pr 140.91 Pr.upf
Cl 35.45 Cl.upf
ATOMIC_POSITIONS crystal
P 0.8712 0.8712 0.3863
Cu 0.8104 0.8104 0.5687
Pr 0.5791 0.5791 0.2628
Cl 0.2895 0.2895 0.1314
Pr 0.4209 0.4209 0.7372
Cl 0.7105 0.7105 0.8686
P 0.1288 0.1288 0.6137
Cu 0.1896 0.1896 0.4313
CELL_PARAMETERS angstrom
4.0717 0.0000 0.0000
2.0359 3.5262 0.0000
2.0359 1.1754 13.1871
! Formation energy (no corrections) ... -1.30 eV per atom
! Crystal system ... trigonal
! V ... 189.34 Å³/cell
! Space group ... R-3m (166)

---

! CuP2PtCl | Alexandria | GGA-PBE | relaxed; values from VASP
&SYSTEM
  ibrav = 0, nat = 5, ntyp = 4
/
ATOMIC_SPECIES
Cu 63.55 Cu.upf
Cl 35.45 Cl.upf
P 30.97 P.upf
Pt 195.08 Pt.upf
ATOMIC_POSITIONS crystal
Cu 0.5000 0.5000 0.5000
Cl 0.0000 0.0000 0.0000
P 0.5000 0.0000 0.0000
Pt 0.0000 0.5000 0.0000
P 0.0000 0.0000 0.5000
CELL_PARAMETERS angstrom
-2.4512 0.5314 3.8099
-2.5914 -3.5896 -1.1666
2.8517 -2.7810 2.2226
! Formation energy (no corrections) ... 1.48 eV per atom
! Crystal system ... tetragonal
! Polymorph energy (0 for the lowest one) ... 0.6964 eV per atom
! V ... 95.26 Å³/cell
! Space group ... P4/mmm (123)

---

! CuP2PtCl | Alexandria | GGA-PBE | relaxed; values from VASP
&SYSTEM
  ibrav = 0, nat = 5, ntyp = 4
/
ATOMIC_SPECIES
P 30.97 P.upf
Pt 195.08 Pt.upf
Cl 35.45 Cl.upf
Cu 63.55 Cu.upf
ATOMIC_POSITIONS crystal
P 0.5000 0.0000 0.0000
P 0.0000 0.5000 0.0000
Pt 0.0000 0.0000 0.0000
Cl 0.0000 0.0000 0.5000
Cu 0.5000 0.5000 0.5000
CELL_PARAMETERS angstrom
-4.0646 -1.0890 -1.8857
1.0440 -4.4788 0.3363
-2.1518 -0.1470 4.7229
! Formation energy (no corrections) ... 0.78 eV per atom
! Crystal system ... tetragonal
! Polymorph energy (0 for the lowest one) ... 0.0000 eV per atom
! V ... 110.40 Å³/cell
! Space group ... P4/mmm (123)

---

! CuPPtCl2 | Alexandria | GGA-PBE | relaxed; values from VASP
&SYSTEM
  ibrav = 0, nat = 5, ntyp = 4
/
ATOMIC_SPECIES
Cl 35.45 Cl.upf
Pt 195.08 Pt.upf
Cu 63.55 Cu.upf
P 30.97 P.upf
ATOMIC_POSITIONS crystal
Cl 0.5000 0.0000 0.0000
Cl 0.0000 0.5000 0.0000
Pt 0.0000 0.0000 0.0000
Cu 0.5000 0.5000 0.5000
P 0.0000 0.0000 0.5000
CELL_PARAMETERS angstrom
5.0728 0.0000 0.0000
0.0000 5.0728 0.0000
0.0000 0.0000 4.5122
! Formation energy (no corrections) ... 0.50 eV per atom
! Crystal system ... tetragonal
! Polymorph energy (0 for the lowest one) ... 0.0000 eV per atom
! V ... 116.12 Å³/cell
! Space group ... P4/mmm (123)

---

! CuPPtCl2 | Alexandria | GGA-PBE | relaxed; values from VASP
&SYSTEM
  ibrav = 0, nat = 5, ntyp = 4
/
ATOMIC_SPECIES
P 30.97 P.upf
Cu 63.55 Cu.upf
Pt 195.08 Pt.upf
Cl 35.45 Cl.upf
ATOMIC_POSITIONS crystal
P 0.0000 0.0000 0.5000
Cu 0.0000 0.0000 0.0000
Pt 0.5000 0.5000 0.5000
Cl 0.0000 0.5000 0.0000
Cl 0.5000 0.0000 0.0000
CELL_PARAMETERS angstrom
4.3010 0.0000 0.0000
0.0000 4.3010 0.0000
0.0000 0.0000 5.4917
! Formation energy (no corrections) ... 0.74 eV per atom
! Crystal system ... tetragonal
! Polymorph energy (0 for the lowest one) ... 0.2418 eV per atom
! V ... 101.59 Å³/cell
! Space group ... P4/mmm (123)

---

! RbCuP2Cl | Alexandria | GGA-PBE | relaxed; values from VASP
&SYSTEM
  ibrav = 0, nat = 5, ntyp = 4
/
ATOMIC_SPECIES
Cl 35.45 Cl.upf
P 30.97 P.upf
Rb 85.47 Rb.upf
Cu 63.55 Cu.upf
ATOMIC_POSITIONS crystal
Cl 0.0000 0.0000 0.5000
P 0.5000 0.0000 0.0000
Rb 0.5000 0.5000 0.5000
Cu 0.0000 0.0000 0.0000
P 0.0000 0.5000 0.0000
CELL_PARAMETERS angstrom
4.4032 0.0000 0.0000
0.0000 4.4032 0.0000
0.0000 0.0000 7.7212
! Formation energy (no corrections) ... -0.04 eV per atom
! Crystal system ... tetragonal
! Polymorph energy (0 for the lowest one) ... 0.0000 eV per atom
! V ... 149.70 Å³/cell
! Space group ... P4/mmm (123)